a.
# GGA-PBE CuReF2, relaxed
# - spin magnetization (μB/cell) = 16.3
# - crystal system = cubic
data_CuReF2
_chemical_formula_sum 'Cu4 Re4 F8'
_symmetry_space_group_name_H-M 'F m -3 m'
_symmetry_Int_Tables_number 225
_symmetry_space_group_name_Hall '-F 4 2 3'
_cell_length_a 5.9150
_cell_length_b 5.9150
_cell_length_c 5.9150
_cell_angle_alpha 90.00
_cell_angle_beta 90.00
_cell_angle_gamma 90.00
loop_
_atom_site_label
_atom_site_type_symbol
_atom_site_fract_x
_atom_site_fract_y
_atom_site_fract_z
Cu1 Cu 0.0000 0.0000 0.0000
Re1 Re 0.0000 0.0000 0.5000
F1 F 0.2500 0.2500 0.2500

=====

b.
# GGA-PBE CuReF2, relaxed
# - spin magnetization (μB/cell) = 0.0
# - crystal system = trigonal
data_CuReF2
_chemical_formula_sum 'Cu3 Re3 F6'
_symmetry_space_group_name_H-M 'R -3 m'
_symmetry_Int_Tables_number 166
_symmetry_space_group_name_Hall '-R 3 2"'
_cell_length_a 2.6634
_cell_length_b 2.6634
_cell_length_c 23.6298
_cell_angle_alpha 90.00
_cell_angle_beta 90.00
_cell_angle_gamma 120.00
loop_
_atom_site_label
_atom_site_type_symbol
_atom_site_fract_x
_atom_site_fract_y
_atom_site_fract_z
Cu1 Cu 0.0000 0.0000 0.0000
Re1 Re 0.0000 0.0000 0.5000
F1 F 0.0000 0.0000 0.0807

=====

c.
# GGA-PBE CuReF2, relaxed
# - spin magnetization (μB/cell) = 10.7
# - crystal system = tetragonal
data_CuReF2
_chemical_formula_sum 'Cu4 Re4 F8'
_symmetry_space_group_name_H-M 'I -4 2 d'
_symmetry_Int_Tables_number 122
_symmetry_space_group_name_Hall 'I -4 2bw'
_cell_length_a 7.0615
_cell_length_b 7.0615
_cell_length_c 4.9815
_cell_angle_alpha 90.00
_cell_angle_beta 90.00
_cell_angle_gamma 90.00
loop_
_atom_site_label
_atom_site_type_symbol
_atom_site_fract_x
_atom_site_fract_y
_atom_site_fract_z
Cu1 Cu 0.0000 0.0000 0.0000
Re1 Re 0.0000 0.0000 0.5000
F1 F 0.1412 0.2500 0.6250

=====

Stability, lowest: a